Record 1
# PBE Sc4CNO2, optimized geometry
data_Sc4CNO2
_chemical_formula_sum 'Sc8 C2 N2 O4'
_space_group_name_H-M_alt 'I 4/m m m'
_space_group_IT_number 139
_space_group_name_Hall '-I 4 2'
_cell_length_a 4.544
_cell_length_b 4.544
_cell_length_c 9.020
_cell_angle_alpha 90.00
_cell_angle_beta 90.00
_cell_angle_gamma 90.00
loop_
_atom_site_label
_atom_site_type_symbol
_atom_site_fract_x
_atom_site_fract_y
_atom_site_fract_z
Sc1 Sc 0.000 0.000 0.250
Sc2 Sc 0.000 0.500 0.000
C1 C 0.000 0.000 0.000
N1 N 0.000 0.000 0.500
O1 O 0.000 0.500 0.250
# Uncorrected formation energy: -2.212 eV/atom
# Density: 4.24 g/cm³
# Final energy: -8.811 eV/atom
# Total magnetic moment: 0.00 Bohr magnetons per cell

Record 2
# PBE Sc6C2N2O, optimized geometry
data_Sc6C2N2O
_chemical_formula_sum 'Sc12 C4 N4 O2'
_space_group_name_H-M_alt 'C 1 2/m 1'
_space_group_IT_number 12
_cell_length_a 5.645
_cell_length_b 9.774
_cell_length_c 5.605
_cell_angle_alpha 90.00
_cell_angle_beta 109.44
_cell_angle_gamma 90.00
loop_
_space_group_symop_operation_xyz
'x,y,z'
'-x,-y,-z'
'-x,y,-z'
'x,-y,z'
'x+1/2,y+1/2,z'
'-x+1/2,-y+1/2,-z'
'-x+1/2,y+1/2,-z'
'x+1/2,-y+1/2,z'
loop_
_atom_site_label
_atom_site_type_symbol
_atom_site_fract_x
_atom_site_fract_y
_atom_site_fract_z
Sc1 Sc 0.237 0.000 0.263
Sc2 Sc 0.245 0.178 0.750
C1 C 0.000 0.335 0.500
N1 N 0.000 0.165 0.000
O1 O 0.000 0.000 0.500
# Uncorrected formation energy: -1.515 eV/atom
# Density: 3.85 g/cm³
# Final energy: -8.610 eV/atom
# Total magnetic moment: 0.42 Bohr magnetons per cell

Record 3
# PBE ScCNO2, optimized geometry
data_ScCNO2
_chemical_formula_sum 'Sc1 C1 N1 O2'
_space_group_name_H-M_alt 'P 4/m m m'
_space_group_IT_number 123
_space_group_name_Hall '-P 4 2'
_cell_length_a 3.973
_cell_length_b 3.973
_cell_length_c 2.650
_cell_angle_alpha 90.00
_cell_angle_beta 90.00
_cell_angle_gamma 90.00
loop_
_atom_site_label
_atom_site_type_symbol
_atom_site_fract_x
_atom_site_fract_y
_atom_site_fract_z
Sc1 Sc 0.000 0.000 0.000
C1 C 0.500 0.500 0.500
N1 N 0.500 0.500 0.000
O1 O 0.000 0.500 0.500
# Uncorrected formation energy: -0.254 eV/atom
# Density: 4.09 g/cm³
# Final energy: -7.014 eV/atom
# Total magnetic moment: 0.00 Bohr magnetons per cell

Record 4
# PBE Sc8C3N3O, optimized geometry
data_Sc8C3N3O
_chemical_formula_sum 'Sc24 C9 N9 O3'
_space_group_name_H-M_alt 'R -3 m'
_space_group_IT_number 166
_space_group_name_Hall '-R 3 2"'
_cell_length_a 6.4785
_cell_length_b 6.4785
_cell_length_c 15.9113
_cell_angle_alpha 90.00
_cell_angle_beta 90.00
_cell_angle_gamma 120.00
loop_
_atom_site_label
_atom_site_type_symbol
_atom_site_fract_x
_atom_site_fract_y
_atom_site_fract_z
Sc1 Sc 0.0000 0.0000 0.2479
Sc2 Sc 0.0053 0.5027 0.7491
C1 C 0.0000 0.5000 0.0000
N1 N 0.0000 0.5000 0.5000
O1 O 0.0000 0.0000 0.0000
# Uncorrected formation energy: -1.352 eV/atom
# Density: 3.91 g/cm³
# Final energy: -8.569 eV/atom
# Total magnetic moment: 0.45 Bohr magnetons per cell

Record 5
# PBE SiCN2O, optimized geometry
data_SiCN2O
_chemical_formula_sum 'Si1 C1 N2 O1'
_space_group_name_H-M_alt 'P 4/m m m'
_space_group_IT_number 123
_space_group_name_Hall '-P 4 2'
_cell_length_a 2.950
_cell_length_b 2.950
_cell_length_c 6.114
_cell_angle_alpha 90.00
_cell_angle_beta 90.00
_cell_angle_gamma 90.00
loop_
_atom_site_label
_atom_site_type_symbol
_atom_site_fract_x
_atom_site_fract_y
_atom_site_fract_z
Si1 Si 0.000 0.000 0.000
C1 C 0.500 0.500 0.500
N1 N 0.000 0.500 0.500
O1 O 0.500 0.500 0.000
# Uncorrected formation energy: 1.455 eV/atom
# Density: 2.63 g/cm³
# Final energy: -5.796 eV/atom
# Total magnetic moment: 0.00 Bohr magnetons per cell

Record 6
# PBE SiCN2O, optimized geometry
data_SiCN2O
_chemical_formula_sum 'Si1 C1 N2 O1'
_space_group_name_H-M_alt 'P 4/m m m'
_space_group_IT_number 123
_space_group_name_Hall '-P 4 2'
_cell_length_a 3.651
_cell_length_b 3.651
_cell_length_c 3.407
_cell_angle_alpha 90.00
_cell_angle_beta 90.00
_cell_angle_gamma 90.00
loop_
_atom_site_label
_atom_site_type_symbol
_atom_site_fract_x
_atom_site_fract_y
_atom_site_fract_z
Si1 Si 0.000 0.000 0.000
C1 C 0.500 0.500 0.500
N1 N 0.000 0.500 0.000
O1 O 0.000 0.000 0.500
# Uncorrected formation energy: 1.418 eV/atom
# Density: 3.07 g/cm³
# Final energy: -5.833 eV/atom
# Total magnetic moment: 1.45 Bohr magnetons per cell